Record 1
VASP calculation (PBE) on a relaxed Li2ZnHg3 crystal.

Structure (CIF):
```
data_Li2ZnHg3
_chemical_formula_sum 'Li4 Zn2 Hg6'
_cell_length_a 4.7437
_cell_length_b 4.7437
_cell_length_c 11.6233
_cell_angle_alpha 90.00
_cell_angle_beta 90.00
_cell_angle_gamma 120.00
_space_group_name_H-M_alt 'P -3 m 1'
_space_group_IT_number 164
_space_group_name_Hall '-P 3 2"'
loop_
_atom_site_label
_atom_site_type_symbol
_atom_site_fract_x
_atom_site_fract_y
_atom_site_fract_z
Li1 Li 0.0000 0.0000 0.0000
Li2 Li 0.0000 0.0000 0.5000
Li3 Li 0.3333 0.6667 0.1686
Zn1 Zn 0.3333 0.6667 0.6663
Hg1 Hg 0.0000 0.0000 0.2445
Hg2 Hg 0.3333 0.6667 0.4141
Hg3 Hg 0.3333 0.6667 0.9252
```

Summary:
V	226.52	Å³/cell
ΔE to the lowest computed polymorph	0	meV per atom
DFT formation energy	-1.46	eV/f.u.
size of the total moment	0.00	μB per formula unit


Record 2
VASP calculation (PBE) on a relaxed Li17Rh2 crystal.

Structure (CIF):
```
data_Li17Rh2
_chemical_formula_sum 'Li51 Rh6'
_cell_length_a 7.4858
_cell_length_b 7.4858
_cell_length_c 19.4175
_cell_angle_alpha 90.00
_cell_angle_beta 90.00
_cell_angle_gamma 120.00
_space_group_name_H-M_alt 'R -3 m'
_space_group_IT_number 166
_space_group_name_Hall '-R 3 2"'
loop_
_atom_site_label
_atom_site_type_symbol
_atom_site_fract_x
_atom_site_fract_y
_atom_site_fract_z
Li1 Li 0.0000 0.0000 0.0871
Li2 Li 0.0000 0.3293 0.0000
Li3 Li 0.0000 0.5000 0.5000
Li4 Li 0.0794 0.5397 0.1081
Rh1 Rh 0.0000 0.0000 0.2689
```

Summary:
V	942.32	Å³/cell
DFT formation energy	1.34	eV/f.u.
size of the total moment	0.00	μB per formula unit


Record 3
VASP calculation (PBE) on a relaxed NaCa2Sm crystal.

Structure (CIF):
```
data_NaCa2Sm
_chemical_formula_sum 'Na1 Ca2 Sm1'
_cell_length_a 4.177
_cell_length_b 4.177
_cell_length_c 8.629
_cell_angle_alpha 90.00
_cell_angle_beta 90.00
_cell_angle_gamma 90.00
_space_group_name_H-M_alt 'P 4/m m m'
_space_group_IT_number 123
_space_group_name_Hall '-P 4 2'
loop_
_atom_site_label
_atom_site_type_symbol
_atom_site_fract_x
_atom_site_fract_y
_atom_site_fract_z
Na1 Na 0.000 0.000 0.000
Ca1 Ca 0.500 0.500 0.252
Sm1 Sm 0.000 0.000 0.500
```

Summary:
V	150.56	Å³/cell
ΔE to the lowest computed polymorph	24	meV per atom
DFT formation energy	0.44	eV/f.u.
size of the total moment	0.00	μB per formula unit


Record 4
VASP calculation (PBE) on a relaxed BaNa2Si2 crystal.

Structure (CIF):
```
data_BaNa2Si2
_chemical_formula_sum 'Ba4 Na8 Si8'
_cell_length_a 4.457
_cell_length_b 4.987
_cell_length_c 26.044
_cell_angle_alpha 90.00
_cell_angle_beta 90.00
_cell_angle_gamma 90.00
_space_group_name_H-M_alt 'I m m a'
_space_group_IT_number 74
_space_group_name_Hall '-I 2b 2'
loop_
_atom_site_label
_atom_site_type_symbol
_atom_site_fract_x
_atom_site_fract_y
_atom_site_fract_z
Ba1 Ba 0.000 0.250 0.179
Na1 Na 0.000 0.250 0.439
Na2 Na 0.000 0.250 0.941
Si1 Si 0.000 0.250 0.636
Si2 Si 0.000 0.250 0.726
```

Summary:
raw formation energy	-0.1499	eV/atom
V	578.78	Å³/cell
ΔE to the lowest computed polymorph	0	meV per atom
size of the total moment	0.00	μB per formula unit


Record 5
VASP calculation (PBE) on a relaxed Pm2Sm2Pd3 crystal.

Structure (CIF):
```
data_Pm2Sm2Pd3
_chemical_formula_sum 'Pm2 Sm2 Pd3'
_cell_length_a 4.229
_cell_length_b 7.067
_cell_length_c 7.222
_cell_angle_alpha 99.24
_cell_angle_beta 90.08
_cell_angle_gamma 107.35
_space_group_name_H-M_alt 'P -1'
_space_group_IT_number 2
_space_group_name_Hall '-P 1'
loop_
_atom_site_label
_atom_site_type_symbol
_atom_site_fract_x
_atom_site_fract_y
_atom_site_fract_z
Pm1 Pm 0.132 0.260 0.368
Sm1 Sm 0.373 0.744 0.111
Pd1 Pd 0.000 0.000 0.000
Pd2 Pd 0.245 0.492 0.744
```

Summary:
V	203.06	Å³/cell
DFT formation energy	-4.00	eV/f.u.
size of the total moment	0.00	μB per formula unit


Record 6
VASP calculation (PBE) on a relaxed KLi2PO4 crystal.

Structure (CIF):
```
data_KLi2PO4
_chemical_formula_sum 'K2 Li4 P2 O8'
_cell_length_a 5.221
_cell_length_b 5.221
_cell_length_c 7.053
_cell_angle_alpha 90.00
_cell_angle_beta 90.00
_cell_angle_gamma 90.00
_space_group_name_H-M_alt 'I -4 2 m'
_space_group_IT_number 121
_space_group_name_Hall 'I -4 2'
loop_
_atom_site_label
_atom_site_type_symbol
_atom_site_fract_x
_atom_site_fract_y
_atom_site_fract_z
K1 K 0.000 0.000 0.000
Li1 Li 0.000 0.500 0.250
P1 P 0.000 0.000 0.500
O1 O 0.172 0.172 0.370
```

Summary:
raw formation energy	-2.2917	eV/atom
V	192.26	Å³/cell
size of the total moment	0.00	μB per formula unit


Record 7
VASP calculation (PBE) on a relaxed Tm2PdRh crystal.

Structure (CIF):
```
data_Tm2PdRh
_chemical_formula_sum 'Tm8 Pd4 Rh4'
_cell_length_a 6.837
_cell_length_b 6.837
_cell_length_c 6.837
_cell_angle_alpha 90.00
_cell_angle_beta 90.00
_cell_angle_gamma 90.00
_space_group_name_H-M_alt 'F m -3 m'
_space_group_IT_number 225
_space_group_name_Hall '-F 4 2 3'
loop_
_atom_site_label
_atom_site_type_symbol
_atom_site_fract_x
_atom_site_fract_y
_atom_site_fract_z
Tm1 Tm 0.250 0.250 0.250
Pd1 Pd 0.000 0.000 0.000
Rh1 Rh 0.000 0.000 0.500
```

Summary:
V	319.54	Å³/cell
DFT formation energy	-3.82	eV/f.u.
size of the total moment	0.00	μB per formula unit


Record 8
VASP calculation (PBE) on a relaxed LiCuSb2 crystal.

Structure (CIF):
```
data_LiCuSb2
_chemical_formula_sum 'Li1 Cu1 Sb2'
_cell_length_a 3.576
_cell_length_b 3.576
_cell_length_c 6.490
_cell_angle_alpha 90.00
_cell_angle_beta 90.00
_cell_angle_gamma 90.00
_space_group_name_H-M_alt 'P 4/m m m'
_space_group_IT_number 123
_space_group_name_Hall '-P 4 2'
loop_
_atom_site_label
_atom_site_type_symbol
_atom_site_fract_x
_atom_site_fract_y
_atom_site_fract_z
Li1 Li 0.000 0.000 0.000
Cu1 Cu 0.000 0.000 0.500
Sb1 Sb 0.500 0.500 0.274
```

Summary:
raw formation energy	-0.0325	eV/atom
V	83.00	Å³/cell
ΔE to the lowest computed polymorph	80	meV per atom
size of the total moment	0.00	μB per formula unit


What did the first record say?
VASP calculation (PBE) on a relaxed Li2ZnHg3 crystal.

Structure (CIF):
```
data_Li2ZnHg3
_chemical_formula_sum 'Li4 Zn2 Hg6'
_cell_length_a 4.7437
_cell_length_b 4.7437
_cell_length_c 11.6233
_cell_angle_alpha 90.00
_cell_angle_beta 90.00
_cell_angle_gamma 120.00
_space_group_name_H-M_alt 'P -3 m 1'
_space_group_IT_number 164
_space_group_name_Hall '-P 3 2"'
loop_
_atom_site_label
_atom_site_type_symbol
_atom_site_fract_x
_atom_site_fract_y
_atom_site_fract_z
Li1 Li 0.0000 0.0000 0.0000
Li2 Li 0.0000 0.0000 0.5000
Li3 Li 0.3333 0.6667 0.1686
Zn1 Zn 0.3333 0.6667 0.6663
Hg1 Hg 0.0000 0.0000 0.2445
Hg2 Hg 0.3333 0.6667 0.4141
Hg3 Hg 0.3333 0.6667 0.9252
```

Summary:
V	226.52	Å³/cell
ΔE to the lowest computed polymorph	0	meV per atom
DFT formation energy	-1.46	eV/f.u.
size of the total moment	0.00	μB per formula unit


Which value of size of the total moment does entry 5 give? 0.00 μB per formula unit